The following is a DFT calculation (PBE-GGA) of a geometry-optimized ZrHF2 structure.

* calculated total energy: -0.186 hartree per atom
* energy above the most stable polymorph in this dataset: 638 meV/atom

Lattice parameters (Å, degrees): 7.7689 7.7689 7.7689 24.86 24.86 24.86
Atoms (fractional coordinates):
Zr 0.0000 0.0000 0.0000
H 0.5000 0.5000 0.5000
F 0.0863 0.0863 0.0863
F 0.9137 0.9137 0.9137